1.
The following is a DFT calculation (PBE) of a relaxed Ce2SmY3Tm6 crystal.

Cell lengths 6.1065, 6.1065, 11.6546 Å; angles 95.01, 95.01, 119.97 degrees
Closest atoms and distances in Å follow each position.
Sites, in units of the cell vectors:
Ce (0.1667, 0.8333, 0.0000)  6 Tm 3.50, 3 Sm 3.52-3.53, 3 Ce 3.53
Ce (0.8333, 0.1667, 0.0000)  6 Tm 3.50, 3 Sm 3.52-3.53, 3 Ce 3.53
Sm (0.5000, 0.5000, 0.0000)  6 Tm 3.51-3.52, 6 Ce 3.52-3.53
Y (0.0000, 0.0000, 0.5000)  6 Tm 3.52-3.53, 6 Y 3.52-3.53
Y (0.3338, 0.6662, 0.5000)  6 Y 3.51-3.53, 6 Tm 3.52-3.54
Y (0.6662, 0.3338, 0.5000)  6 Y 3.51-3.53, 6 Tm 3.52-3.54
Tm (0.0807, 0.4165, 0.7513)  2 Ce 3.50, 6 Tm 3.51-3.55, 1 Sm 3.52, 3 Y 3.52-3.54
Tm (0.2475, 0.2475, 0.2486)  2 Ce 3.50, 6 Tm 3.51-3.55, 1 Sm 3.51, 3 Y 3.52-3.53
Tm (0.4165, 0.0807, 0.7513)  2 Ce 3.50, 6 Tm 3.51-3.55, 1 Sm 3.52, 3 Y 3.52-3.54
Tm (0.5835, 0.9193, 0.2487)  2 Ce 3.50, 6 Tm 3.51-3.55, 1 Sm 3.52, 3 Y 3.52-3.54
Tm (0.7525, 0.7525, 0.7514)  2 Ce 3.50, 6 Tm 3.51-3.55, 1 Sm 3.51, 3 Y 3.52-3.53
Tm (0.9193, 0.5835, 0.2487)  2 Ce 3.50, 6 Tm 3.51-3.55, 1 Sm 3.52, 3 Y 3.52-3.54

Results
ΔE_f in eV/atom: 0.053


2.
The following is a DFT calculation (PBE) of a relaxed Pm6SiAu2 crystal.

Cell lengths 8.8383, 8.8383, 8.8383 Å; angles 147.57, 131.89, 59.22 degrees
Closest atoms and distances in Å follow each position.
Sites, in units of the cell vectors:
Pm (0.0812, 0.8369, 0.2444)  1 Si 3.06, 3 Au 3.08-3.13
Pm (0.2466, 0.5000, 0.7466)  2 Si 3.04, 2 Au 3.16
Pm (0.4075, 0.1631, 0.2444)  1 Si 3.06, 3 Au 3.08-3.13
Pm (0.5925, 0.8369, 0.7556)  1 Si 3.06, 3 Au 3.08-3.13
Pm (0.7534, 0.5000, 0.2534)  2 Si 3.04, 2 Au 3.16
Pm (0.9188, 0.1631, 0.7556)  1 Si 3.06, 3 Au 3.08-3.13
Si (0.0000, 0.0000, 0.0000)  8 Pm 3.04-3.06
Au (0.3318, 0.3318, 0.0000)  8 Pm 3.08-3.16
Au (0.6682, 0.6682, 0.0000)  8 Pm 3.08-3.16

Results
Formation energy from raw total energies in eV/atom: -0.394


3.
The following is a DFT calculation (PBE) of a relaxed La2CdPb crystal.

Cell lengths 5.8570, 5.8570, 3.6762 Å; angles 90.00, 90.00, 101.30 degrees
Closest atoms and distances in Å follow each position.
Sites, in units of the cell vectors:
La (0.0000, 0.5000, 0.0000)  4 Cd 3.46, 4 Pb 3.46, 4 La 3.68-3.71
La (0.5000, 0.0000, 0.0000)  4 Cd 3.46, 4 Pb 3.46, 4 La 3.68-3.71
Cd (0.0000, 0.0000, 0.5000)  8 La 3.46, 2 Cd 3.68, 2 Pb 3.71
Pb (0.5000, 0.5000, 0.5000)  8 La 3.46, 2 Pb 3.68, 2 Cd 3.71

Results
ΔE_f in eV/atom: -0.467


4.
The following is a DFT calculation (PBE) of a relaxed YCdF5 crystal.

Cell lengths 5.9369, 5.9369, 7.8057 Å; angles 108.44, 108.44, 74.60 degrees
Closest atoms and distances in Å follow each position.
Sites, in units of the cell vectors:
Y (0.0444, 0.9556, 0.7500)  5 F 2.15-2.26
Y (0.9556, 0.0444, 0.2500)  5 F 2.15-2.26
Cd (0.5000, 0.5000, 0.0000)  6 F 2.20-2.37
Cd (0.5000, 0.5000, 0.5000)  6 F 2.20-2.37
F (0.1664, 0.8183, 0.0392)  2 Y 2.26-2.47, 1 Cd 2.37
F (0.1817, 0.8336, 0.4608)  2 Y 2.26-2.47, 1 Cd 2.37
F (0.2186, 0.2775, 0.3664)  1 Y 2.15, 1 Cd 2.20
F (0.2775, 0.2186, 0.8664)  1 Y 2.15, 1 Cd 2.20
F (0.3564, 0.6436, 0.7500)  2 Cd 2.21, 1 Y 2.24
F (0.6436, 0.3564, 0.2500)  2 Cd 2.21, 1 Y 2.24
F (0.7225, 0.7814, 0.1336)  1 Y 2.15, 1 Cd 2.20
F (0.7814, 0.7225, 0.6336)  1 Y 2.15, 1 Cd 2.20
F (0.8183, 0.1664, 0.5392)  2 Y 2.26-2.47, 1 Cd 2.37
F (0.8336, 0.1817, 0.9608)  2 Y 2.26-2.47, 1 Cd 2.37

Results
Formation energy from raw total energies in eV/atom: -3.251


no.,DOS(E_F) (states/eV/atom)
1,1.865
2,1.328
3,0.783
4,0.000